An optimized crystal structure of LiLa2Te2AuO2, computed with PBE-GGA.

Values from the calculation:
* volume: 172.42 Å³/cell
* magnetic moment: 0.0 μB per formula unit
* final energy: -5.9885 eV/atom

Unit cell a=4.2293 b=4.2293 c=9.6398 alpha=90.00 beta=90.00 gamma=90.00
Positions (direct):
La 0.5000 0.0000 0.3801
La 0.0000 0.5000 0.6199
Li 0.5000 0.5000 0.0000
Te 0.5000 0.0000 0.8087
Te 0.0000 0.5000 0.1913
O 0.0000 0.0000 0.5000
O 0.5000 0.5000 0.5000
Au 0.0000 0.0000 0.0000